No. 1
ZnIn2CuPt, relaxed, DFT PBE-GGA; calculated density = 7.6 g/cm3; ΔE_f = 620 meV/atom
1.0
-3.317 1.512 3.492
-3.550 -0.945 -2.963
-0.250 -4.709 1.802
In Zn Pt Cu
2 1 1 1
Cartesian
-1.658 0.756 1.746
-0.125 -2.354 0.901
0.000 0.000 0.000
-1.775 -0.472 -1.481
-3.558 -2.071 1.165


No. 2
Pu2InCu, relaxed, DFT PBE-GGA; calculated density = 12.5 g/cm3; ΔE_f = -12 meV/atom
1.0
4.811 0.000 0.000
0.000 4.284 0.000
0.000 0.000 4.284
In Cu Pu
1 1 2
Cartesian
2.406 2.142 2.142
2.406 0.000 0.000
0.000 2.142 0.000
0.000 0.000 2.142


No. 3
PuIn4Cu2, relaxed, DFT PBE-GGA; calculated density = 9.2 g/cm3; ΔE_f = -90 meV/atom
1.0
4.578 0.000 0.000
0.000 7.196 0.000
0.000 0.000 18.285
Pu In Cu
4 16 8
Cartesian
3.433 3.745 2.551
1.144 0.147 6.592
1.144 3.451 15.734
3.433 7.049 11.694
3.433 5.523 14.748
3.433 6.090 8.543
1.144 5.904 3.382
1.144 7.181 16.983
1.144 1.673 3.537
1.144 1.925 12.680
3.433 4.704 17.685
3.433 5.271 5.605
3.433 3.583 10.445
1.144 4.889 12.525
3.433 2.307 5.760
1.144 3.613 7.840
1.144 1.106 9.742
1.144 2.492 0.600
3.433 0.015 1.303
3.433 1.291 14.903
1.144 6.965 14.280
1.144 3.829 5.138
3.433 1.864 17.544
3.433 1.734 8.401
3.433 3.367 13.147
1.144 5.462 9.884
3.433 0.231 4.005
1.144 5.332 0.742


Please write out number 2 again, unchanged.
Pu2InCu, relaxed, DFT PBE-GGA; calculated density = 12.5 g/cm3; ΔE_f = -12 meV/atom
1.0
4.811 0.000 0.000
0.000 4.284 0.000
0.000 0.000 4.284
In Cu Pu
1 1 2
Cartesian
2.406 2.142 2.142
2.406 0.000 0.000
0.000 2.142 0.000
0.000 0.000 2.142